VASP calculation (PBE) on a relaxed structure of MgTl2Co. Values from VASP.

Quantum ESPRESSO input file:
```
&SYSTEM
  ibrav = 0, nat = 4, ntyp = 3
/
ATOMIC_SPECIES
Tl 204.38 Tl.upf
Mg 24.30 Mg.upf
Co 58.93 Co.upf
ATOMIC_POSITIONS crystal
Tl 0.2500 0.2500 0.2500
Mg 0.7500 0.7500 0.7500
Tl 0.0000 0.0000 0.0000
Co 0.5000 0.5000 0.5000
CELL_PARAMETERS angstrom
-1.1777 -4.8214 0.3966
-0.0169 -2.1993 4.4669
-4.3112 -1.3453 2.0962
```

Relative energy among the computed polymorphs = 0.2715 eV/atom
Final energy = -11.4 eV per cell
ρ = 9.36 g/cm3



VASP calculation (PBE) on a relaxed structure of Mg2TlCo. Values from VASP.

Quantum ESPRESSO input file:
```
&SYSTEM
  ibrav = 0, nat = 8, ntyp = 3
/
ATOMIC_SPECIES
Tl 204.38 Tl.upf
Mg 24.30 Mg.upf
Co 58.93 Co.upf
ATOMIC_POSITIONS crystal
Tl 0.0000 0.0000 0.0000
Mg 0.6039 0.1250 0.2500
Mg 0.1461 0.6250 0.2500
Co 0.5000 0.5000 0.0000
Mg 0.8750 0.8539 0.7500
Tl 0.7500 0.2500 0.5000
Co 0.2500 0.7500 0.5000
Mg 0.3750 0.3961 0.7500
CELL_PARAMETERS angstrom
4.1171 0.0000 0.0000
0.0000 4.1171 0.0000
2.0585 2.0585 9.7768
```

Relative energy among the computed polymorphs = 0.3775 eV/atom
Final energy = -21.5 eV per cell
ρ = 6.25 g/cm3



VASP calculation (PBE) on a relaxed structure of MgTl2Co. Values from VASP.

Quantum ESPRESSO input file:
```
&SYSTEM
  ibrav = 0, nat = 4, ntyp = 3
/
ATOMIC_SPECIES
Tl 204.38 Tl.upf
Mg 24.30 Mg.upf
Co 58.93 Co.upf
ATOMIC_POSITIONS crystal
Tl 0.0000 0.0000 0.0000
Tl 0.5000 0.0000 0.5000
Mg 0.5000 0.5000 0.0000
Co 0.0000 0.5000 0.5000
CELL_PARAMETERS angstrom
5.6612 -0.0085 -0.0238
-2.7453 4.9481 -0.0127
0.1705 1.0949 3.0784
```

Relative energy among the computed polymorphs = 0.2051 eV/atom
Final energy = -11.6 eV per cell
ρ = 9.46 g/cm3



VASP calculation (PBE) on a relaxed structure of MgTlCo2. Values from VASP.

Quantum ESPRESSO input file:
```
&SYSTEM
  ibrav = 0, nat = 4, ntyp = 3
/
ATOMIC_SPECIES
Co 58.93 Co.upf
Tl 204.38 Tl.upf
Mg 24.30 Mg.upf
ATOMIC_POSITIONS crystal
Co 0.5000 0.0680 0.2391
Tl 0.5000 0.7945 0.7855
Co 0.0000 0.1728 0.0283
Mg 0.0000 0.4647 0.4471
CELL_PARAMETERS angstrom
-1.2295 -0.0204 -3.8658
-2.2927 -2.0769 0.7401
-4.3345 2.8419 1.3636
```

Final energy = -16.9 eV per cell
ρ = 8.71 g/cm3